# 1
A PBEsol-optimized structure of SrCa2Be. Source: the Alexandria database, functional SCAN.

Unit cell a=3.7358 b=5.7960 c=7.0002 alpha=114.46 beta=105.48 gamma=90.00
Closest atoms and distances in Å follow each position.
Sites, in units of the cell vectors:
Sr: 0.0000 0.5000 0.0000  4 Be 3.45, 4 Ca 3.70, 2 Sr 3.74
Ca: 0.8111 0.8111 0.6222  2 Be 2.96
Ca: 0.1889 0.1889 0.3778  2 Be 2.96
Be: 0.5000 0.0000 0.0000  4 Ca 2.96

Output
As for the volume: 32.98 A^3/atom. As for the space group: No. 71. As for the total energy: -11.21 eV/atom.


# 2
A PBEsol-optimized structure of YAlTl2. Source: the Alexandria database, functional SCAN.

Unit cell a=3.4090 b=5.4388 c=6.2439 alpha=115.45 beta=105.29 gamma=91.21
Closest atoms and distances in Å follow each position.
Sites, in units of the cell vectors:
Y: 0.5000 0.0000 0.0000  4 Tl 3.14, 4 Al 3.18-3.24, 2 Y 3.41
Tl: 0.0000 0.0000 0.5000  2 Y 3.14, 2 Al 3.14, 6 Tl 3.18-3.41
Tl: 0.5000 0.5000 0.5000  2 Al 3.14, 2 Y 3.14, 6 Tl 3.18-3.41
Al: 0.0000 0.5000 0.0000  4 Tl 3.14, 4 Y 3.18-3.24, 2 Al 3.41

Output
As for the volume: 24.91 A^3/atom. The energy above the most stable polymorph in this dataset is 0 meV/atom. As for the space group: No. 12.


# 3
A PBEsol-optimized structure of LiP2Rh. Source: the Alexandria database, functional SCAN.

Unit cell a=5.8905 b=6.1795 c=5.8905 alpha=61.54 beta=90.00 gamma=118.46
Closest atoms and distances in Å follow each position.
Sites, in units of the cell vectors:
P: 0.6750 0.7500 0.3750  2 Rh 2.20
P: 0.0750 0.7500 0.8750  2 Rh 2.20
P: 0.8750 0.2500 0.6750  2 Rh 2.20
P: 0.3750 0.2500 0.0750  2 Rh 2.20
Rh: 0.7500 0.5000 0.7500  4 P 2.20
Rh: 0.0000 0.0000 0.0000  4 P 2.20
Li: 0.2500 0.5000 0.2500  4 P 2.57
Li: 0.5000 0.0000 0.5000  4 P 2.57

Output
As for the volume: 19.80 A^3/atom. The energy above the most stable polymorph in this dataset is 253 meV/atom. As for the space group: No. 122.